# SCAN SnSe, single point on PBEsol structure
data_SnSe
_cell_length_a 3.8920
_cell_length_b 5.7805
_cell_length_c 6.0074
_cell_angle_alpha 90.00
_cell_angle_beta 90.00
_cell_angle_gamma 109.67
_symmetry_space_group_name_H-M 'P 1'
_symmetry_Int_Tables_number 1
_symmetry_space_group_name_Hall 'P 1'
loop_
_atom_site_label
_atom_site_type_symbol
_atom_site_fract_x
_atom_site_fract_y
_atom_site_fract_z
Sn1 Sn 0.8397 0.6793 0.2500
Sn2 Sn 0.1603 0.3207 0.7500
Se1 Se 0.1638 0.3276 0.2500
Se2 Se 0.8362 0.6724 0.7500
# **Energy relative to the elements, uncorrected**: -28.7 kJ/mol of atoms
# **Magnetic moment**: 0.00 μB per formula unit